i:
The following is a GGA-PBE calculation of BeZnAu4 after structural relaxation, from Alexandria.

Properties
size of the total moment	0.00	μB/atom

Cell: 6.743 6.743 4.949 Å, 101.88 101.88 112.59°
Element x y z (fractional)
Be: 0.004 0.996 0.750
Be: 0.996 0.004 0.250
Zn: 0.379 0.621 0.750
Zn: 0.621 0.379 0.250
Au: 0.066 0.711 0.430
Au: 0.209 0.378 0.160
Au: 0.289 0.934 0.070
Au: 0.378 0.209 0.660
Au: 0.622 0.791 0.340
Au: 0.711 0.066 0.930
Au: 0.791 0.622 0.840
Au: 0.934 0.289 0.570

***

ii:
The following is a GGA-PBE calculation of BeZnAu4 after structural relaxation, from Alexandria.

Properties
size of the total moment	0.00	μB/atom

Cell: 3.968 4.025 6.680 Å, 90.72 90.06 92.54°
Element x y z (fractional)
Be: 0.000 0.000 0.000
Zn: 0.500 0.500 0.500
Au: 0.001 0.500 0.779
Au: 0.500 0.001 0.776
Au: 0.500 0.999 0.224
Au: 0.999 0.500 0.221

***

Order of stability, best first: i, ii